## 1
5
Lattice="4.807 0.000 0.000 0.000 4.807 0.000 0.000 0.000 4.807" Properties=species:S:1:pos:R:3 comment="PBE SbAs3P, optimized geometry" vol_a3_per_cell=111.1 space_group="No. 221" pbc="T T T"
As 0.000 0.000 2.404
As 2.404 0.000 0.000
As 0.000 2.404 0.000
Sb 2.404 2.404 2.404
P 0.000 0.000 0.000

## 2
5
Lattice="-0.238 3.433 -3.922 0.804 -3.855 -3.423 -5.150 -0.760 -0.353" Properties=species:S:1:pos:R:3 comment="PBE SbAs3P, optimized geometry" vol_a3_per_cell=142.0 space_group="No. 221" pbc="T T T"
As 0.402 -1.928 -1.711
As -2.575 -0.380 -0.177
As -0.119 1.716 -1.961
P -2.292 -0.591 -3.849
Sb 0.000 0.000 0.000

Least stable: 2

## 1
5
Lattice="-3.453 -3.787 -0.993 3.214 -1.987 -3.601 2.355 -3.155 3.842" Properties=species:S:1:pos:R:3 comment="PBE SbAsPSe2, optimized geometry" vol_a3_per_cell=149.9 space_group="No. 123" pbc="T T T"
As 1.177 -1.577 1.921
P 1.058 -4.464 -0.376
Sb 0.000 0.000 0.000
Se 1.607 -0.993 -1.801
Se -1.726 -1.893 -0.496

## 2
5
Lattice="-4.883 -0.386 0.331 0.199 -4.389 -2.191 0.450 -2.082 4.213" Properties=species:S:1:pos:R:3 comment="PBE SbAsPSe2, optimized geometry" vol_a3_per_cell=113.8 space_group="No. 123" pbc="T T T"
P 0.000 0.000 0.000
Se 0.099 -2.194 -1.095
Se -2.441 -0.193 0.165
As 0.225 -1.041 2.106
Sb -2.117 -3.429 1.177

Least stable: 1

## 1
5
Lattice="-3.352 -3.727 1.786 1.750 -3.363 -3.734 3.797 -1.791 3.392" Properties=species:S:1:pos:R:3 comment="PBE Sb2TeAsP, optimized geometry" vol_a3_per_cell=152.8 space_group="No. 123" pbc="T T T"
As 0.000 0.000 0.000
P 1.097 -4.440 0.722
Sb 0.875 -1.682 -1.867
Sb -1.676 -1.863 0.893
Te 1.899 -0.895 1.696

## 2
5
Lattice="-2.482 0.442 -4.514 -3.793 -3.025 1.789 -2.518 4.221 1.798" Properties=species:S:1:pos:R:3 comment="PBE Sb2TeAsP, optimized geometry" vol_a3_per_cell=139.9 space_group="No. 123" pbc="T T T"
As -4.397 0.819 -0.463
Sb -1.241 0.221 -2.257
Sb -1.896 -1.512 0.895
P 0.000 0.000 0.000
Te -1.259 2.111 0.899

Least stable: 1

## 1
5
Lattice="-1.130 2.246 -4.790 -5.093 0.863 1.606 1.396 4.725 1.886" Properties=species:S:1:pos:R:3 comment="PBE SbTe2AsP, optimized geometry" vol_a3_per_cell=154.4 space_group="No. 123" pbc="T T T"
P -2.413 3.917 -0.649
Te -2.546 0.432 0.803
Te -0.565 1.123 -2.395
Sb 0.698 2.363 0.943
As 0.000 0.000 0.000

## 2
5
Lattice="-2.854 -3.266 2.913 4.299 -1.441 2.595 -0.808 3.764 3.429" Properties=species:S:1:pos:R:3 comment="PBE SbTe2AsP, optimized geometry" vol_a3_per_cell=140.7 space_group="No. 123" pbc="T T T"
Te 2.150 -0.721 1.298
Te -1.427 -1.633 1.457
Sb -0.404 1.882 1.715
As 0.319 -0.472 4.469
P 0.000 0.000 0.000

Least stable: 1

## 1
5
Lattice="-2.189 2.339 1.474 -1.744 0.290 -3.051 -6.293 -3.977 1.181" Properties=species:S:1:pos:R:3 comment="PBE Sc2AsP2, optimized geometry" vol_a3_per_cell=88.4 space_group="No. 139" pbc="T T T"
P -5.224 -0.162 0.933
P -5.002 -1.186 -1.329
As 0.000 0.000 0.000
Sc -7.327 -1.521 -0.032
Sc -2.899 0.174 -0.364

## 2
10
Lattice="7.149 0.000 0.000 0.000 7.149 0.000 0.000 0.000 3.667" Properties=species:S:1:pos:R:3 comment="PBE Sc2AsP2, optimized geometry" vol_a3_per_cell=187.4 space_group="No. 127" pbc="T T T"
Sc 5.895 4.830 0.000
Sc 2.320 5.895 0.000
Sc 4.830 1.255 0.000
Sc 1.255 2.320 0.000
As 3.575 3.575 0.000
As 0.000 0.000 0.000
P 2.786 0.789 1.833
P 0.789 4.364 1.833
P 6.361 2.786 1.833
P 4.364 6.361 1.833

Least stable: 2

## 1
5
Lattice="-3.400 -3.571 1.093 1.534 0.012 4.812 -3.405 3.572 1.077" Properties=species:S:1:pos:R:3 comment="PBE ScAs3P, optimized geometry" vol_a3_per_cell=128.8 space_group="No. 221" pbc="T T T"
As -1.700 -1.786 0.546
As -1.702 1.786 0.539
As 0.767 0.006 2.406
P -2.635 0.006 3.491
Sc 0.000 0.000 0.000

## 2
5
Lattice="4.737 0.000 0.000 0.000 4.737 0.000 0.000 0.000 4.737" Properties=species:S:1:pos:R:3 comment="PBE ScAs3P, optimized geometry" vol_a3_per_cell=106.3 space_group="No. 221" pbc="T T T"
As 0.000 0.000 2.369
As 2.369 0.000 0.000
As 0.000 2.369 0.000
P 0.000 0.000 0.000
Sc 2.369 2.369 2.369

Least stable: 1

## 1
12
Lattice="-2.679 -4.709 3.750 5.905 -1.871 -1.061 0.368 6.472 4.067" Properties=species:S:1:pos:R:3 comment="PBE Sc4AsP, optimized geometry" vol_a3_per_cell=262.8 space_group="No. 15" pbc="T T T"
Sc 0.841 3.987 4.743
Sc -1.707 0.130 5.366
Sc 2.752 -4.094 2.013
Sc -0.563 -4.353 3.378
Sc 2.751 1.345 3.020
Sc 4.157 4.246 3.377
Sc 0.843 -1.452 3.735
Sc 5.301 -0.238 1.389
P 4.860 2.231 1.913
P -1.266 -2.338 4.842
As 0.783 1.156 4.905
As 2.811 -1.263 1.851

## 2
6
Lattice="0.000 3.940 3.940 3.940 0.000 3.940 3.940 3.940 0.000" Properties=species:S:1:pos:R:3 comment="PBE Sc4AsP, optimized geometry" vol_a3_per_cell=122.3 space_group="No. 216" pbc="T T T"
Sc 2.955 2.955 2.955
Sc 4.925 2.955 4.925
Sc 4.925 4.925 2.955
Sc 2.955 4.925 4.925
P 0.000 0.000 0.000
As 5.910 5.910 5.910

Least stable: 2

## 1
5
Lattice="4.694 0.000 0.000 0.000 4.694 0.000 0.000 0.000 4.914" Properties=species:S:1:pos:R:3 comment="PBE ScAs2PSe, optimized geometry" vol_a3_per_cell=108.3 space_group="No. 123" pbc="T T T"
Se 0.000 0.000 2.457
Sc 2.347 2.347 2.457
P 0.000 0.000 0.000
As 2.347 0.000 0.000
As 0.000 2.347 0.000

## 2
5
Lattice="-5.126 0.339 -0.083 -0.284 -3.333 3.899 0.196 3.758 3.227" Properties=species:S:1:pos:R:3 comment="PBE ScAs2PSe, optimized geometry" vol_a3_per_cell=130.8 space_group="No. 123" pbc="T T T"
Sc 0.000 0.000 0.000
As -0.142 -1.667 1.949
As -2.563 0.170 -0.042
P -2.607 0.382 3.521
Se 0.098 1.879 1.613

Least stable: 2

## 1
8
Lattice="6.682 0.000 0.000 0.000 6.682 0.000 3.341 3.341 4.212" Properties=species:S:1:pos:R:3 comment="PBE As2PSe, optimized geometry" vol_a3_per_cell=188.1 space_group="No. 122" pbc="T T T"
P 3.341 3.341 0.000
P 3.341 6.682 2.106
As 4.812 1.671 1.053
As 1.870 5.012 1.053
As 8.353 8.153 3.159
As 5.012 5.212 3.159
Se 0.000 0.000 0.000
Se 6.682 3.341 2.106

## 2
4
Lattice="3.696 0.000 0.000 0.000 4.720 0.003 0.000 2.037 4.917" Properties=species:S:1:pos:R:3 comment="PBE As2PSe, optimized geometry" vol_a3_per_cell=85.8 space_group="No. 6" pbc="T T T"
As 0.000 4.599 0.087
As 1.848 1.777 1.438
P 0.000 3.295 2.078
Se 1.848 5.185 3.780

## 3
4
Lattice="3.222 0.000 0.000 0.000 3.221 0.000 0.000 0.000 7.371" Properties=species:S:1:pos:R:3 comment="PBE As2PSe, optimized geometry" vol_a3_per_cell=76.5 space_group="No. 123" pbc="T T T"
Se 1.611 1.610 5.528
As 0.000 0.000 3.252
As 0.000 0.000 0.433
P 1.611 1.610 1.843

Least stable: 3

## 1
3
Lattice="-5.992 1.770 -3.521 -4.345 -2.245 -5.245 3.901 -0.951 5.942" Properties=species:S:1:pos:R:3 comment="PBE AsPSe, optimized geometry" vol_a3_per_cell=73.9 space_group="No. 107" pbc="T T T"
Se -6.526 -0.300 -5.534
P -4.853 -0.223 -4.116
As -9.296 -0.427 -7.883

## 2
3
Lattice="-4.104 1.437 -0.923 -2.333 -1.892 -3.278 -3.515 -2.547 0.957" Properties=species:S:1:pos:R:3 comment="PBE AsPSe, optimized geometry" vol_a3_per_cell=62.1 space_group="No. 216" pbc="T T T"
P -7.464 -2.251 -2.433
Se 0.000 0.000 0.000
As -4.976 -1.501 -1.622

Least stable: 2

## 1
3
Lattice="8.235 0.194 -0.143 7.532 2.962 -0.069 0.704 -0.749 2.666" Properties=species:S:1:pos:R:3 comment="PBE AsPSe, optimized geometry" vol_a3_per_cell=61.8 space_group="No. 42" pbc="T T T"
Se 10.739 1.853 0.749
P 6.140 0.661 1.627
As 15.358 3.050 -0.134

## 2
3
Lattice="3.745 0.000 0.000 -1.873 3.244 0.000 0.000 0.000 4.801" Properties=species:S:1:pos:R:3 comment="PBE AsPSe, optimized geometry" vol_a3_per_cell=58.3 space_group="No. 156" pbc="T T T"
As 0.000 0.000 0.157
Se 0.000 2.162 3.152
P 1.873 1.081 1.492

## 3
3
Lattice="4.971 0.000 0.000 -2.486 4.305 0.000 0.000 0.000 2.706" Properties=species:S:1:pos:R:3 comment="PBE AsPSe, optimized geometry" vol_a3_per_cell=57.9 space_group="No. 187" pbc="T T T"
Se 2.486 1.435 0.902
P 0.000 2.870 0.902
As 0.000 0.000 0.902

## 4
3
Lattice="5.854 0.123 0.195 3.467 4.719 -0.195 -4.562 -2.611 2.588" Properties=species:S:1:pos:R:3 comment="PBE AsPSe, optimized geometry" vol_a3_per_cell=69.9 space_group="No. 44" pbc="T T T"
P 3.826 1.987 0.000
As 9.005 4.677 0.000
Se 5.812 3.019 0.000

Least stable: 1

## 1
4
Lattice="3.630 0.000 0.000 0.000 7.716 0.000 0.000 0.000 3.623" Properties=species:S:1:pos:R:3 comment="PBE AsPSe2, optimized geometry" vol_a3_per_cell=101.5 space_group="No. 47" pbc="T T T"
P 0.000 3.858 1.812
Se 1.815 3.858 0.000
Se 0.000 0.000 0.000
As 1.815 0.000 1.812

## 2
4
Lattice="-1.290 1.579 -3.739 -2.156 -0.476 3.642 2.059 6.617 2.084" Properties=species:S:1:pos:R:3 comment="PBE AsPSe2, optimized geometry" vol_a3_per_cell=101.0 space_group="No. 65" pbc="T T T"
Se 1.053 3.383 1.066
Se 2.036 6.542 2.060
P -0.179 5.514 1.514
As -1.208 2.206 0.472

Least stable: 1